Run a
Here is crystalline CrSi2Au at its relaxed geometry from Alexandria. Energies are from PBE.

Lattice parameters (Å, degrees): 3.092 3.092 5.886 90.00 90.00 94.75
Positions (direct):
Cr1 0.000 0.000 0.000
Si1 0.500 0.500 0.207
Si2 0.500 0.500 0.793
Au1 0.000 0.000 0.500

Computed properties:
- Size of the total moment: 0.019 μB/atom
- Density of states at the Fermi level: 2.79 states/eV/cell



Run b
Here is crystalline CrSi2Au at its relaxed geometry from Alexandria. Energies are from PBE.

Lattice parameters (Å, degrees): 4.315 4.315 4.315 60.00 60.00 60.00
Positions (direct):
Cr1 0.000 0.000 0.000
Si1 0.250 0.250 0.250
Si2 0.750 0.750 0.750
Au1 0.500 0.500 0.500

Computed properties:
- Size of the total moment: 0.000 μB/atom
- Density of states at the Fermi level: 7.66 states/eV/cell



Run c
Here is crystalline CrSi2Au at its relaxed geometry from Alexandria. Energies are from PBE.

Lattice parameters (Å, degrees): 8.312 8.312 8.312 19.81 19.81 19.81
Positions (direct):
Cr1 0.000 0.000 0.000
Si1 0.261 0.261 0.261
Si2 0.739 0.739 0.739
Au1 0.500 0.500 0.500

Computed properties:
- Size of the total moment: 0.001 μB/atom
- Density of states at the Fermi level: 4.48 states/eV/cell



The most stable arrangement is run a, and the next structure is 0.032 eV/atom less stable.



Run a
Here is crystalline CrSi2Au at its relaxed geometry from Alexandria. Energies are from PBE.

Lattice parameters (Å, degrees): 2.641 3.056 7.404 90.00 90.00 90.00
Positions (direct):
Cr1 0.000 0.000 0.000
Si1 0.500 0.500 0.193
Si2 0.500 0.500 0.807
Au1 0.000 0.500 0.500

Computed properties:
- Size of the total moment: 0.063 μB/atom
- Density of states at the Fermi level: 2.31 states/eV/cell



Run b
Here is crystalline CrSi2Au at its relaxed geometry from Alexandria. Energies are from PBE.

Lattice parameters (Å, degrees): 4.541 4.541 4.420 105.04 105.04 41.13
Positions (direct):
Cr1 0.000 0.000 0.000
Si1 0.475 0.475 0.407
Si2 0.728 0.728 0.074
Au1 0.231 0.231 0.608

Computed properties:
- Size of the total moment: 0.242 μB/atom
- Density of states at the Fermi level: 1.57 states/eV/cell



The most stable arrangement is run a, and the next structure is 0.105 eV/atom less stable.



Run a
Here is crystalline CrSn2Au2 at its relaxed geometry from Alexandria. Energies are from PBE.

Lattice parameters (Å, degrees): 7.223 7.223 3.940 90.00 90.00 90.00
Positions (direct):
Cr1 0.000 0.000 0.000
Cr2 0.500 0.500 0.000
Sn1 0.162 0.338 0.000
Sn2 0.338 0.838 0.000
Sn3 0.662 0.162 0.000
Sn4 0.838 0.662 0.000
Au1 0.145 0.645 0.500
Au2 0.355 0.145 0.500
Au3 0.645 0.855 0.500
Au4 0.855 0.355 0.500

Computed properties:
- Size of the total moment: 0.006 μB/atom
- Density of states at the Fermi level: 9.66 states/eV/cell



Run b
Here is crystalline CrSn2Au2 at its relaxed geometry from Alexandria. Energies are from PBE.

Lattice parameters (Å, degrees): 8.296 8.296 8.296 153.57 153.57 37.72
Positions (direct):
Cr1 0.000 0.000 0.000
Sn1 0.399 0.399 0.000
Sn2 0.601 0.601 0.000
Au1 0.250 0.750 0.500
Au2 0.750 0.250 0.500

Computed properties:
- Size of the total moment: 0.771 μB/atom
- Density of states at the Fermi level: 2.63 states/eV/cell



The most stable arrangement is run b, and the next structure is 0.186 eV/atom less stable.



Run a
Here is crystalline SrCr3Au at its relaxed geometry from Alexandria. Energies are from PBE.

Lattice parameters (Å, degrees): 4.451 4.451 4.451 90.00 90.00 90.00
Positions (direct):
Sr1 0.000 0.000 0.000
Cr1 0.000 0.000 0.500
Cr2 0.000 0.500 0.000
Cr3 0.500 0.000 0.000
Au1 0.500 0.500 0.500

Computed properties:
- Size of the total moment: 0.000 μB/atom
- Density of states at the Fermi level: 11.05 states/eV/cell



Run b
Here is crystalline SrCr3Au at its relaxed geometry from Alexandria. Energies are from PBE.

Lattice parameters (Å, degrees): 5.158 5.158 5.158 90.00 90.00 90.00
Positions (direct):
Sr1 0.000 0.000 0.000
Cr1 0.000 0.500 0.500
Cr2 0.500 0.000 0.500
Cr3 0.500 0.500 0.000
Au1 0.500 0.500 0.500

Computed properties:
- Size of the total moment: 2.683 μB/atom
- Density of states at the Fermi level: 3.43 states/eV/cell



The most stable arrangement is run b, and the next structure is 1.844 eV/atom less stable.